1.
Density functional theory data (GGA-PBE) for Li2PRh after structural relaxation.

Output
For the energy, the calculation gives -4.635 eV per atom. As for the space-group type: Immm (71).

a = 3.5203 Å, b = 3.5327 Å, c = 8.0807 Å
α = 90.00°, β = 90.00°, γ = 90.00°
Fractional positions:
Li (0.0000, 0.0000, 0.2503)
Li (0.0000, 0.0000, 0.7497)
Li (0.5000, 0.5000, 0.2497)
Li (0.5000, 0.5000, 0.7503)
P (0.0000, 0.5000, 0.0000)
P (0.5000, 0.0000, 0.5000)
Rh (0.0000, 0.5000, 0.5000)
Rh (0.5000, 0.0000, 0.0000)

---

2.
Density functional theory data (GGA-PBE) for TmSi2Rh5 after structural relaxation.

Output
Its uncorrected formation energy is -0.78 eV per atom. As for the space-group type: Immm (71).

a = 3.8247 Å, b = 6.5776 Å, c = 10.0231 Å
α = 90.00°, β = 90.00°, γ = 90.00°
Fractional positions:
Tm (0.0000, 0.0000, 0.0000)
Tm (0.5000, 0.5000, 0.5000)
Si (0.0000, 0.5000, 0.2320)
Si (0.0000, 0.5000, 0.7680)
Si (0.5000, 0.0000, 0.2680)
Si (0.5000, 0.0000, 0.7320)
Rh (0.0000, 0.2076, 0.3568)
Rh (0.0000, 0.2076, 0.6432)
Rh (0.0000, 0.5000, 0.0000)
Rh (0.0000, 0.7924, 0.3568)
Rh (0.0000, 0.7924, 0.6432)
Rh (0.5000, 0.0000, 0.5000)
Rh (0.5000, 0.2924, 0.1432)
Rh (0.5000, 0.2924, 0.8568)
Rh (0.5000, 0.7076, 0.1432)
Rh (0.5000, 0.7076, 0.8568)

---

3.
Density functional theory data (GGA-PBE) for HoCu2Au after structural relaxation.

Output
For the energy, the calculation gives -4.348 eV per atom. As for the space-group type: Fm-3m (225).

a = 6.5013 Å, b = 6.5013 Å, c = 6.5013 Å
α = 90.00°, β = 90.00°, γ = 90.00°
Fractional positions:
Ho (0.0000, 0.0000, 0.0000)
Ho (0.0000, 0.5000, 0.5000)
Ho (0.5000, 0.0000, 0.5000)
Ho (0.5000, 0.5000, 0.0000)
Cu (0.2500, 0.2500, 0.2500)
Cu (0.2500, 0.2500, 0.7500)
Cu (0.2500, 0.7500, 0.2500)
Cu (0.2500, 0.7500, 0.7500)
Cu (0.7500, 0.2500, 0.2500)
Cu (0.7500, 0.2500, 0.7500)
Cu (0.7500, 0.7500, 0.2500)
Cu (0.7500, 0.7500, 0.7500)
Au (0.0000, 0.0000, 0.5000)
Au (0.0000, 0.5000, 0.0000)
Au (0.5000, 0.0000, 0.0000)
Au (0.5000, 0.5000, 0.5000)

---

4.
Density functional theory data (GGA-PBE) for NaPH4 after structural relaxation.

Output
As for the space-group type: C2/c (15). The energy above the lowest structure with this stoichiometry is 0.0000 eV per atom.

a = 9.2066 Å, b = 9.2066 Å, c = 4.4752 Å
α = 92.62°, β = 92.62°, γ = 152.30°
Fractional positions:
Na (0.0793, 0.9207, 0.7500)
Na (0.9207, 0.0793, 0.2500)
P (0.4841, 0.5159, 0.7500)
P (0.5159, 0.4841, 0.2500)
H (0.0435, 0.4213, 0.0105)
H (0.1461, 0.4542, 0.9494)
H (0.4213, 0.0435, 0.5105)
H (0.4542, 0.1461, 0.4494)
H (0.5458, 0.8539, 0.5506)
H (0.5787, 0.9565, 0.4895)
H (0.8539, 0.5458, 0.0506)
H (0.9565, 0.5787, 0.9895)

---

5.
Density functional theory data (GGA-PBE) for Ca3Zn2Pd5 after structural relaxation.

Output
For the energy, the calculation gives -4.079 eV per atom. As for the space-group type: P4/mbm (127).

a = 9.9609 Å, b = 9.9609 Å, c = 3.9122 Å
α = 90.00°, β = 90.00°, γ = 90.00°
Fractional positions:
Ca (0.0000, 0.0000, 0.0000)
Ca (0.1757, 0.3243, 0.0000)
Ca (0.3243, 0.8243, 0.0000)
Ca (0.5000, 0.5000, 0.0000)
Ca (0.6757, 0.1757, 0.0000)
Ca (0.8243, 0.6757, 0.0000)
Zn (0.1189, 0.6189, 0.0000)
Zn (0.3811, 0.1189, 0.0000)
Zn (0.6189, 0.8811, 0.0000)
Zn (0.8811, 0.3811, 0.0000)
Pd (0.0000, 0.5000, 0.5000)
Pd (0.0715, 0.7839, 0.5000)
Pd (0.2161, 0.0715, 0.5000)
Pd (0.2839, 0.5715, 0.5000)
Pd (0.4285, 0.2839, 0.5000)
Pd (0.5000, 0.0000, 0.5000)
Pd (0.5715, 0.7161, 0.5000)
Pd (0.7161, 0.4285, 0.5000)
Pd (0.7839, 0.9285, 0.5000)
Pd (0.9285, 0.2161, 0.5000)

---

6.
Density functional theory data (GGA-PBE) for CaMgAs4 after structural relaxation.

Output
For the energy, the calculation gives -3.830 eV per atom. As for the space-group type: F-43m (216).

a = 5.7123 Å, b = 5.7123 Å, c = 5.7123 Å
α = 60.00°, β = 60.00°, γ = 60.00°
Fractional positions:
Ca (0.0000, 0.0000, 0.0000)
Mg (0.7500, 0.7500, 0.7500)
As (0.3767, 0.3767, 0.3767)
As (0.3767, 0.3767, 0.8698)
As (0.3767, 0.8698, 0.3767)
As (0.8698, 0.3767, 0.3767)

---

7.
Density functional theory data (GGA-PBE) for Ba3CdSn3 after structural relaxation.

Output
For the energy, the calculation gives -3.300 eV per atom. As for the space-group type: C2/m (12).

a = 6.7780 Å, b = 6.7780 Å, c = 16.7642 Å
α = 109.54°, β = 109.54°, γ = 46.21°
Fractional positions:
Ba (0.0380, 0.0380, 0.3828)
Ba (0.0977, 0.0977, 0.9227)
Ba (0.2447, 0.2447, 0.2274)
Ba (0.7553, 0.7553, 0.7726)
Ba (0.9023, 0.9023, 0.0773)
Ba (0.9620, 0.9620, 0.6172)
Cd (0.2568, 0.2568, 0.6034)
Cd (0.7432, 0.7432, 0.3966)
Sn (0.3685, 0.3685, 0.4627)
Sn (0.3897, 0.3897, 0.9237)
Sn (0.4589, 0.4589, 0.7692)
Sn (0.5411, 0.5411, 0.2308)
Sn (0.6103, 0.6103, 0.0763)
Sn (0.6315, 0.6315, 0.5373)

---

8.
Density functional theory data (GGA-PBE) for PmNd2Y6Er3 after structural relaxation.

Output
For the energy, the calculation gives -5.543 eV per atom. As for the space-group type: C2/m (12).

a = 6.2046 Å, b = 6.2046 Å, c = 11.8390 Å
α = 95.00°, β = 95.00°, γ = 119.96°
Fractional positions:
Pm (0.0000, 0.0000, 0.0000)
Nd (0.3333, 0.6667, 0.0000)
Nd (0.6667, 0.3333, 0.0000)
Y (0.0849, 0.4180, 0.2540)
Y (0.2483, 0.2483, 0.7460)
Y (0.4180, 0.0849, 0.2540)
Y (0.5820, 0.9151, 0.7460)
Y (0.7517, 0.7517, 0.2540)
Y (0.9151, 0.5820, 0.7460)
Er (0.1666, 0.8334, 0.5000)
Er (0.5000, 0.5000, 0.5000)
Er (0.8334, 0.1666, 0.5000)